No. 1
LaNi2Sn: optimized geometry, PBE.

Geometry as CIF:
```
data_LaNi2Sn
_chemical_formula_sum 'La1 Ni2 Sn1'
_space_group_name_H-M_alt 'P 1'
_space_group_IT_number 1
_cell_length_a 5.4329
_cell_length_b 5.4329
_cell_length_c 5.4329
_cell_angle_alpha 48.18
_cell_angle_beta 48.18
_cell_angle_gamma 48.18
loop_
_space_group_symop_operation_xyz
'x,y,z'
loop_
_atom_site_label
_atom_site_type_symbol
_atom_site_fract_x
_atom_site_fract_y
_atom_site_fract_z
La1 La 0.0000 0.0000 0.0000
Ni1 Ni 0.1975 0.1975 0.1975
Ni2 Ni 0.8025 0.8025 0.8025
Sn1 Sn 0.5000 0.5000 0.5000
```

* total magnetization: 0.00 μB per cell
* space-group type: R-3m, No. 166
* formation energy from the elements: -1.9 eV per formula unit
* Fermi-level density of states: 0.954 states/eV/atom
* raw total energy: -22.42 eV per cell


No. 2
BaCrSb2: optimized geometry, PBE.

Geometry as CIF:
```
data_BaCrSb2
_chemical_formula_sum 'Ba2 Cr2 Sb4'
_space_group_name_H-M_alt 'P 1'
_space_group_IT_number 1
_cell_length_a 8.8555
_cell_length_b 8.8555
_cell_length_c 8.8555
_cell_angle_alpha 139.76
_cell_angle_beta 139.76
_cell_angle_gamma 58.22
loop_
_space_group_symop_operation_xyz
'x,y,z'
loop_
_atom_site_label
_atom_site_type_symbol
_atom_site_fract_x
_atom_site_fract_y
_atom_site_fract_z
Ba1 Ba 0.3750 0.6250 0.7500
Ba2 Ba 0.6250 0.3750 0.2500
Cr1 Cr 0.1250 0.8750 0.2500
Cr2 Cr 0.8750 0.1250 0.7500
Sb1 Sb 0.0000 0.0000 0.0000
Sb2 Sb 0.0000 0.0000 0.5000
Sb3 Sb 0.0000 0.5000 0.0000
Sb4 Sb 0.5000 0.0000 0.5000
```

* total magnetization: 0.00 μB per cell
* formation energy (no corrections): -0.01 eV per atom
* space-group type: I4_1/amd, No. 141
* Fermi-level density of states: 0.355 states/eV/atom
* raw total energy: -39.67 eV per cell


No. 3
LiLuAl4: optimized geometry, PBE.

Geometry as CIF:
```
data_LiLuAl4
_chemical_formula_sum 'Li1 Lu1 Al4'
_space_group_name_H-M_alt 'P 1'
_space_group_IT_number 1
_cell_length_a 5.4491
_cell_length_b 5.4491
_cell_length_c 5.4491
_cell_angle_alpha 60.00
_cell_angle_beta 60.00
_cell_angle_gamma 60.00
loop_
_space_group_symop_operation_xyz
'x,y,z'
loop_
_atom_site_label
_atom_site_type_symbol
_atom_site_fract_x
_atom_site_fract_y
_atom_site_fract_z
Li1 Li 0.0000 0.0000 0.0000
Lu1 Lu 0.7500 0.7500 0.7500
Al1 Al 0.3754 0.3754 0.3754
Al2 Al 0.3754 0.3754 0.8737
Al3 Al 0.3754 0.8737 0.3754
Al4 Al 0.8737 0.3754 0.3754
```

* total magnetization: 0.01 μB per cell
* space-group type: F-43m, No. 216
* formation energy from the elements: -1.5 eV per formula unit
* Fermi-level density of states: 0.691 states/eV/atom
* raw total energy: -22.88 eV per cell


No. 4
BeH: optimized geometry, PBE.

Geometry as CIF:
```
data_BeH
_chemical_formula_sum 'Be1 H1'
_space_group_name_H-M_alt 'P 1'
_space_group_IT_number 1
_cell_length_a 2.5799
_cell_length_b 2.5799
_cell_length_c 2.5799
_cell_angle_alpha 60.00
_cell_angle_beta 60.00
_cell_angle_gamma 60.00
loop_
_space_group_symop_operation_xyz
'x,y,z'
loop_
_atom_site_label
_atom_site_type_symbol
_atom_site_fract_x
_atom_site_fract_y
_atom_site_fract_z
Be1 Be 0.0000 0.0000 0.0000
H1 H 0.2500 0.2500 0.2500
```

* energy above the lowest structure with this stoichiometry: 0.363 eV per atom
* total magnetization: 0.00 μB per cell
* space-group type: F-43m, No. 216
* Fermi-level density of states: 0.280 states/eV/atom
* raw total energy: -6.13 eV per cell


No. 5
BeTl2Pt: optimized geometry, PBE.

Geometry as CIF:
```
data_BeTl2Pt
_chemical_formula_sum 'Be1 Tl2 Pt1'
_space_group_name_H-M_alt 'P 1'
_space_group_IT_number 1
_cell_length_a 3.4095
_cell_length_b 3.4095
_cell_length_c 6.9540
_cell_angle_alpha 90.00
_cell_angle_beta 90.00
_cell_angle_gamma 99.79
loop_
_space_group_symop_operation_xyz
'x,y,z'
loop_
_atom_site_label
_atom_site_type_symbol
_atom_site_fract_x
_atom_site_fract_y
_atom_site_fract_z
Be1 Be 0.0000 0.0000 0.0000
Tl1 Tl 0.5000 0.5000 0.2427
Tl2 Tl 0.5000 0.5000 0.7573
Pt1 Pt 0.0000 0.0000 0.5000
```

* energy above the lowest structure with this stoichiometry: 0.576 eV per atom
* total magnetization: 0.00 μB per cell
* space-group type: Cmmm, No. 65
* formation energy from the elements: 1.9 eV per formula unit
* Fermi-level density of states: 0.320 states/eV/atom
* raw total energy: -12.55 eV per cell


No. 6
Pr8Ni3CI4: optimized geometry, PBE.

Geometry as CIF:
```
data_Pr8Ni3CI4
_chemical_formula_sum 'Pr8 Ni3 C1 I4'
_space_group_name_H-M_alt 'P 1'
_space_group_IT_number 1
_cell_length_a 8.2497
_cell_length_b 8.2497
_cell_length_c 9.3441
_cell_angle_alpha 116.25
_cell_angle_beta 116.25
_cell_angle_gamma 59.87
loop_
_space_group_symop_operation_xyz
'x,y,z'
loop_
_atom_site_label
_atom_site_type_symbol
_atom_site_fract_x
_atom_site_fract_y
_atom_site_fract_z
Pr1 Pr 0.2183 0.2183 0.6789
Pr2 Pr 0.2181 0.7440 0.6791
Pr3 Pr 0.2560 0.7819 0.3209
Pr4 Pr 0.2718 0.2718 0.3165
Pr5 Pr 0.7282 0.7282 0.6835
Pr6 Pr 0.7440 0.2181 0.6791
Pr7 Pr 0.7819 0.2560 0.3209
Pr8 Pr 0.7817 0.7817 0.3211
Ni1 Ni 0.0000 0.5000 0.5000
Ni2 Ni 0.5000 0.0000 0.5000
Ni3 Ni 0.5000 0.5000 0.5000
C1 C 0.0000 0.0000 0.5000
I1 I 0.0000 0.0000 0.0000
I2 I 0.0000 0.5000 0.0000
I3 I 0.5000 0.0000 0.0000
I4 I 0.5000 0.5000 0.0000
```

* total magnetization: 0.00 μB per cell
* formation energy (no corrections): -0.62 eV per atom
* space-group type: C2/m, No. 12
* Fermi-level density of states: 0.891 states/eV/atom
* raw total energy: -80.89 eV per cell


No. 7
MgGaAg2Hg: optimized geometry, PBE.

Geometry as CIF:
```
data_MgGaAg2Hg
_chemical_formula_sum 'Mg2 Ga2 Ag4 Hg2'
_space_group_name_H-M_alt 'P 1'
_space_group_IT_number 1
_cell_length_a 5.8946
_cell_length_b 4.7012
_cell_length_c 7.8117
_cell_angle_alpha 90.00
_cell_angle_beta 107.07
_cell_angle_gamma 90.00
loop_
_space_group_symop_operation_xyz
'x,y,z'
loop_
_atom_site_label
_atom_site_type_symbol
_atom_site_fract_x
_atom_site_fract_y
_atom_site_fract_z
Mg1 Mg 0.0498 0.2500 0.1954
Mg2 Mg 0.9502 0.7500 0.8046
Ga1 Ga 0.4375 0.7500 0.7484
Ga2 Ga 0.5625 0.2500 0.2516
Ag1 Ag 0.0910 0.7500 0.4335
Ag2 Ag 0.4028 0.2500 0.5569
Ag3 Ag 0.5972 0.7500 0.4431
Ag4 Ag 0.9090 0.2500 0.5665
Hg1 Hg 0.2694 0.2500 0.9092
Hg2 Hg 0.7306 0.7500 0.0908
```

* total magnetization: 0.00 μB per cell
* space-group type: P2_1/m, No. 11
* formation energy from the elements: -0.2 eV per formula unit
* Fermi-level density of states: 0.279 states/eV/atom
* raw total energy: -21.59 eV per cell


No. 8
Li3Hg4: optimized geometry, PBE.

Geometry as CIF:
```
data_Li3Hg4
_chemical_formula_sum 'Li3 Hg4'
_space_group_name_H-M_alt 'P 1'
_space_group_IT_number 1
_cell_length_a 5.5461
_cell_length_b 5.5461
_cell_length_c 5.4399
_cell_angle_alpha 90.00
_cell_angle_beta 90.00
_cell_angle_gamma 120.00
loop_
_space_group_symop_operation_xyz
'x,y,z'
loop_
_atom_site_label
_atom_site_type_symbol
_atom_site_fract_x
_atom_site_fract_y
_atom_site_fract_z
Li1 Li 0.0000 0.5000 0.0000
Li2 Li 0.5000 0.0000 0.0000
Li3 Li 0.5000 0.5000 0.0000
Hg1 Hg 0.0000 0.0000 0.2500
Hg2 Hg 0.0000 0.0000 0.7500
Hg3 Hg 0.3333 0.6667 0.5000
Hg4 Hg 0.6667 0.3333 0.5000
```

* energy above the lowest structure with this stoichiometry: 0.160 eV per atom
* total magnetization: 0.00 μB per cell
* space-group type: P6/mmm, No. 191
* formation energy from the elements: -1.1 eV per formula unit
* Fermi-level density of states: 0.256 states/eV/atom
* raw total energy: -8.04 eV per cell


No. 9
CaSb2: optimized geometry, PBE.

Geometry as CIF:
```
data_CaSb2
_chemical_formula_sum 'Ca1 Sb2'
_space_group_name_H-M_alt 'P 1'
_space_group_IT_number 1
_cell_length_a 5.1222
_cell_length_b 5.1222
_cell_length_c 4.1287
_cell_angle_alpha 90.00
_cell_angle_beta 90.00
_cell_angle_gamma 120.00
loop_
_space_group_symop_operation_xyz
'x,y,z'
loop_
_atom_site_label
_atom_site_type_symbol
_atom_site_fract_x
_atom_site_fract_y
_atom_site_fract_z
Ca1 Ca 0.0000 0.0000 0.0000
Sb1 Sb 0.3333 0.6667 0.4562
Sb2 Sb 0.6667 0.3333 0.5438
```

* total magnetization: 0.00 μB per cell
* formation energy (no corrections): -0.37 eV per atom
* space-group type: P-3m1, No. 164
* Fermi-level density of states: 0.670 states/eV/atom
* raw total energy: -11.34 eV per cell


No. 10
TiNbAlFe: optimized geometry, PBE.

Geometry as CIF:
```
data_TiNbAlFe
_chemical_formula_sum 'Ti1 Nb1 Al1 Fe1'
_space_group_name_H-M_alt 'P 1'
_space_group_IT_number 1
_cell_length_a 4.3854
_cell_length_b 4.3854
_cell_length_c 4.3854
_cell_angle_alpha 60.00
_cell_angle_beta 60.00
_cell_angle_gamma 60.00
loop_
_space_group_symop_operation_xyz
'x,y,z'
loop_
_atom_site_label
_atom_site_type_symbol
_atom_site_fract_x
_atom_site_fract_y
_atom_site_fract_z
Ti1 Ti 0.0000 0.0000 0.0000
Nb1 Nb 0.2500 0.2500 0.2500
Al1 Al 0.7500 0.7500 0.7500
Fe1 Fe 0.5000 0.5000 0.5000
```

* total magnetization: 1.99 μB per cell
* space-group type: F-43m, No. 216
* formation energy from the elements: -0.6 eV per formula unit
* Fermi-level density of states: 1.142 states/eV/atom
* raw total energy: -30.74 eV per cell


No. 11
HoThRu: optimized geometry, PBE.

Geometry as CIF:
```
data_HoThRu
_chemical_formula_sum 'Ho1 Th1 Ru1'
_space_group_name_H-M_alt 'P 1'
_space_group_IT_number 1
_cell_length_a 6.9655
_cell_length_b 6.9655
_cell_length_c 6.9655
_cell_angle_alpha 151.47
_cell_angle_beta 151.47
_cell_angle_gamma 40.78
loop_
_space_group_symop_operation_xyz
'x,y,z'
loop_
_atom_site_label
_atom_site_type_symbol
_atom_site_fract_x
_atom_site_fract_y
_atom_site_fract_z
Ho1 Ho 0.0000 0.0000 0.0000
Th1 Th 0.2634 0.2634 0.0000
Ru1 Ru 0.6319 0.6319 0.0000
```

* energy above the lowest structure with this stoichiometry: 0.088 eV per atom
* total magnetization: 0.00 μB per cell
* space-group type: I4mm, No. 107
* formation energy from the elements: -0.8 eV per formula unit
* Fermi-level density of states: 1.383 states/eV/atom
* raw total energy: -22.03 eV per cell


No. 12
Tm6TlCo2: optimized geometry, PBE.

Geometry as CIF:
```
data_Tm6TlCo2
_chemical_formula_sum 'Tm12 Tl2 Co4'
_space_group_name_H-M_alt 'P 1'
_space_group_IT_number 1
_cell_length_a 8.2726
_cell_length_b 8.2726
_cell_length_c 8.2726
_cell_angle_alpha 111.46
_cell_angle_beta 110.07
_cell_angle_gamma 106.91
loop_
_space_group_symop_operation_xyz
'x,y,z'
loop_
_atom_site_label
_atom_site_type_symbol
_atom_site_fract_x
_atom_site_fract_y
_atom_site_fract_z
Tm1 Tm 0.0174 0.2314 0.7859
Tm2 Tm 0.1875 0.2889 0.4764
Tm3 Tm 0.1875 0.7111 0.8986
Tm4 Tm 0.3156 0.0129 0.6973
Tm5 Tm 0.3156 0.6183 0.3027
Tm6 Tm 0.4455 0.2314 0.2141
Tm7 Tm 0.5545 0.7686 0.7859
Tm8 Tm 0.6844 0.3817 0.6973
Tm9 Tm 0.6844 0.9871 0.3027
Tm10 Tm 0.8125 0.2889 0.1014
Tm11 Tm 0.8125 0.7111 0.5236
Tm12 Tm 0.9826 0.7686 0.2141
Tl1 Tl 0.0000 0.0000 0.0000
Tl2 Tl 0.5000 0.5000 0.0000
Co1 Co 0.1132 0.6132 0.5000
Co2 Co 0.3790 0.0000 0.3790
Co3 Co 0.6210 0.0000 0.6210
Co4 Co 0.8868 0.3868 0.5000
```

* total magnetization: 0.00 μB per cell
* space-group type: Immm, No. 71
* formation energy from the elements: -2.5 eV per formula unit
* Fermi-level density of states: 0.774 states/eV/atom
* raw total energy: -91.72 eV per cell